## CsPrNiS3 (PBE-GGA)

Data for CsPrNiS3 after structural relaxation.

Output
ΔE to the lowest computed polymorph ... 22.1 meV per atom
Calculated volume ... 28.83 Å³ per atom
SG ... Cmcm, No. 63
DFT total energy ... -5.1718 eV/atom

abc: 4.101 10.953 7.972
angles: 90.00 104.90 90.00
Each line ends with the local moment (μB).
Fractional positions:
S (0.615, 0.171, 0.230)  0.14
S (0.385, 0.329, 0.770)  0.14
Cs (0.741, 0.500, 0.482)  0.01
S (0.385, 0.671, 0.770)  0.14
Pr (0.000, 0.250, 0.000)  0.00
S (0.045, 0.500, 0.091)  0.18
Cs (0.259, 0.000, 0.518)  0.01
Pr (0.000, 0.750, 0.000)  0.00
Ni (0.468, 0.500, 0.937)  1.17
S (0.955, 0.000, 0.909)  0.18
Ni (0.532, 0.000, 0.063)  1.17
S (0.615, 0.829, 0.230)  0.14

=====

## CsPrNiS3 (PBE-GGA)

Data for CsPrNiS3 after structural relaxation.

Output
ΔE to the lowest computed polymorph ... 0.0 meV per atom
Calculated volume ... 29.81 Å³ per atom
SG ... P2_1/m, No. 11
DFT total energy ... -5.1939 eV/atom

abc: 9.551 4.078 9.735
angles: 90.00 109.38 90.00
Each line ends with the local moment (μB).
Fractional positions:
S (0.659, 0.750, 0.542)  0.16
Pr (0.829, 0.750, 0.855)  0.00
S (0.341, 0.250, 0.458)  0.16
Cs (0.707, 0.250, 0.244)  0.00
S (0.384, 0.750, 0.161)  0.10
S (0.967, 0.750, 0.159)  0.01
Ni (0.424, 0.750, 0.406)  0.76
Ni (0.576, 0.250, 0.594)  0.76
Pr (0.171, 0.250, 0.145)  0.00
Cs (0.293, 0.750, 0.756)  0.00
S (0.033, 0.250, 0.841)  0.01
S (0.616, 0.250, 0.839)  0.10

=====

## CsPrNiSe3 (PBE-GGA)

Data for CsPrNiSe3 after structural relaxation.

Output
Calculated volume ... 33.30 Å³ per atom
SG ... P2_1/m, No. 11
DFT total energy ... -4.7747 eV/atom

abc: 9.332 4.227 10.822
angles: 90.00 110.63 90.00
Each line ends with the local moment (μB).
Fractional positions:
Se (0.920, 0.750, 0.184)  0.11
Ni (0.071, 0.250, 0.589)  0.79
Pr (0.686, 0.250, 0.138)  0.01
Cs (0.250, 0.250, 0.290)  0.00
Cs (0.750, 0.750, 0.710)  0.00
Se (0.816, 0.250, 0.443)  0.16
Pr (0.314, 0.750, 0.862)  0.01
Ni (0.929, 0.750, 0.411)  0.79
Se (0.536, 0.250, 0.849)  0.01
Se (0.184, 0.750, 0.557)  0.16
Se (0.080, 0.250, 0.816)  0.11
Se (0.464, 0.750, 0.151)  0.01

=====

## CsPrNiSe3 (PBE-GGA)

Data for CsPrNiSe3 after structural relaxation.

Output
Calculated volume ... 29.19 Å³ per atom
SG ... C2/m, No. 12
DFT total energy ... -4.5544 eV/atom

abc: 8.865 8.865 9.171
angles: 100.61 100.61 29.68
Each line ends with the local moment (μB).
Fractional positions:
Cs (0.150, 0.150, 0.069)  0.00
Se (0.000, 0.000, 0.500)  0.13
Ni (0.507, 0.507, 0.288)  0.61
Se (0.633, 0.633, 0.774)  0.01
Se (0.655, 0.655, 0.361)  0.01
Se (0.345, 0.345, 0.639)  0.01
Se (0.500, 0.500, 0.000)  0.09
Pr (0.834, 0.834, 0.414)  0.00
Se (0.367, 0.367, 0.226)  0.01
Pr (0.166, 0.166, 0.586)  0.00
Cs (0.850, 0.850, 0.931)  0.00
Ni (0.493, 0.493, 0.712)  0.61

=====

## CsPrNiTe3 (PBE-GGA)

Data for CsPrNiTe3 after structural relaxation.

Output
ΔE to the lowest computed polymorph ... 48.2 meV per atom
Calculated volume ... 34.22 Å³ per atom
SG ... Pnma, No. 62
DFT total energy ... -4.3142 eV/atom

abc: 12.409 4.661 14.198
angles: 90.00 90.00 90.00
Fractional positions:
Pr (0.013, 0.250, 0.836)
Ni (0.266, 0.750, 0.702)
Cs (0.166, 0.250, 0.493)
Te (0.388, 0.750, 0.553)
Te (0.561, 0.750, 0.812)
Te (0.939, 0.250, 0.312)
Te (0.112, 0.250, 0.053)
Te (0.439, 0.250, 0.188)
Te (0.061, 0.750, 0.688)
Ni (0.734, 0.250, 0.298)
Pr (0.987, 0.750, 0.164)
Te (0.780, 0.250, 0.726)
Te (0.612, 0.250, 0.447)
Te (0.888, 0.750, 0.947)
Ni (0.234, 0.250, 0.202)
Ni (0.766, 0.750, 0.798)
Cs (0.666, 0.250, 0.007)
Cs (0.334, 0.750, 0.993)
Pr (0.513, 0.250, 0.664)
Pr (0.487, 0.750, 0.336)
Te (0.220, 0.750, 0.274)
Te (0.720, 0.750, 0.226)
Cs (0.834, 0.750, 0.507)
Te (0.280, 0.250, 0.774)

=====

## CsPrNiTe3 (PBE-GGA)

Data for CsPrNiTe3 after structural relaxation.

Output
ΔE to the lowest computed polymorph ... 0.3 meV per atom
Calculated volume ... 37.69 Å³ per atom
SG ... Pnma, No. 62
DFT total energy ... -4.3621 eV/atom

abc: 17.376 4.406 11.815
angles: 90.00 90.00 90.00
Fractional positions:
Te (0.554, 0.750, 0.095)
Te (0.600, 0.250, 0.413)
Te (0.364, 0.250, 0.240)
Ni (0.019, 0.750, 0.612)
Te (0.446, 0.250, 0.905)
Cs (0.227, 0.250, 0.508)
Pr (0.475, 0.750, 0.344)
Cs (0.773, 0.750, 0.492)
Te (0.636, 0.750, 0.760)
Pr (0.525, 0.250, 0.656)
Ni (0.519, 0.750, 0.888)
Pr (0.975, 0.750, 0.156)
Te (0.900, 0.750, 0.913)
Ni (0.981, 0.250, 0.388)
Ni (0.481, 0.250, 0.112)
Te (0.100, 0.250, 0.087)
Te (0.400, 0.750, 0.587)
Te (0.136, 0.750, 0.740)
Te (0.054, 0.750, 0.405)
Pr (0.025, 0.250, 0.844)
Cs (0.727, 0.250, 0.992)
Cs (0.273, 0.750, 0.008)
Te (0.946, 0.250, 0.595)
Te (0.864, 0.250, 0.260)